[1]
The following is a PBE-GGA calculation of a geometry-optimized Tb2NdGe2Pd2 structure, from Alexandria via LeMat-Bulk.

Geometry as CIF:
```
data_Tb2NdGe2Pd2
_cell_length_a 4.5002
_cell_length_b 4.5002
_cell_length_c 27.3477
_cell_angle_alpha 90.00
_cell_angle_beta 90.00
_cell_angle_gamma 120.00
_symmetry_space_group_name_H-M 'R -3 m'
_symmetry_Int_Tables_number 166
_symmetry_space_group_name_Hall '-R 3 2"'
loop_
_atom_site_label
_atom_site_type_symbol
_atom_site_fract_x
_atom_site_fract_y
_atom_site_fract_z
Tb1 Tb 0.0000 0.0000 0.1261
Nd1 Nd 0.0000 0.0000 0.0000
Ge1 Ge 0.0000 0.0000 0.2560
Pd1 Pd 0.0000 0.0000 0.4038
```

Computed properties:
Formation energy from the elements = -5.6 eV per formula unit
Crystal system = trigonal
M_tot = 0.0 μB/f.u.
N(E_F) = 9.20 states/eV per cell
Volume = 480 Å³/cell

[2]
The following is a PBE-GGA calculation of a geometry-optimized TbNdGe2Pd5 structure, from Alexandria via LeMat-Bulk.

Geometry as CIF:
```
data_TbNdGe2Pd5
_cell_length_a 4.2790
_cell_length_b 4.2790
_cell_length_c 9.1424
_cell_angle_alpha 90.00
_cell_angle_beta 90.00
_cell_angle_gamma 90.00
_symmetry_space_group_name_H-M 'P 4/m m m'
_symmetry_Int_Tables_number 123
_symmetry_space_group_name_Hall '-P 4 2'
loop_
_atom_site_label
_atom_site_type_symbol
_atom_site_fract_x
_atom_site_fract_y
_atom_site_fract_z
Tb1 Tb 0.0000 0.0000 0.0000
Nd1 Nd 0.0000 0.0000 0.5000
Ge1 Ge 0.5000 0.5000 0.1341
Pd1 Pd 0.0000 0.5000 0.2710
Pd2 Pd 0.5000 0.5000 0.5000
```

Computed properties:
Formation energy from the elements = -7.2 eV per formula unit
Crystal system = tetragonal
M_tot = 0.0 μB/f.u.
N(E_F) = 2.74 states/eV per cell
Volume = 167 Å³/cell

[3]
The following is a PBE-GGA calculation of a geometry-optimized NdThGePd structure, from Alexandria via LeMat-Bulk.

Geometry as CIF:
```
data_NdThGePd
_cell_length_a 7.3236
_cell_length_b 7.3236
_cell_length_c 7.3236
_cell_angle_alpha 90.00
_cell_angle_beta 90.00
_cell_angle_gamma 90.00
_symmetry_space_group_name_H-M 'F -4 3 m'
_symmetry_Int_Tables_number 216
_symmetry_space_group_name_Hall 'F -4 2 3'
loop_
_atom_site_label
_atom_site_type_symbol
_atom_site_fract_x
_atom_site_fract_y
_atom_site_fract_z
Nd1 Nd 0.0000 0.0000 0.0000
Th1 Th 0.0000 0.0000 0.5000
Ge1 Ge 0.2500 0.2500 0.7500
Pd1 Pd 0.2500 0.2500 0.2500
```

Computed properties:
Formation energy from the elements = -2.4 eV per formula unit
Crystal system = cubic
M_tot = 0.7 μB/f.u.
N(E_F) = 17.68 states/eV per cell
Volume = 393 Å³/cell

[4]
The following is a PBE-GGA calculation of a geometry-optimized Nd2TiGe4Pd3 structure, from Alexandria via LeMat-Bulk.

Geometry as CIF:
```
data_Nd2TiGe4Pd3
_cell_length_a 4.2438
_cell_length_b 4.2438
_cell_length_c 10.8817
_cell_angle_alpha 90.00
_cell_angle_beta 90.00
_cell_angle_gamma 90.00
_symmetry_space_group_name_H-M 'P -4 m 2'
_symmetry_Int_Tables_number 115
_symmetry_space_group_name_Hall 'P -4 -2'
loop_
_atom_site_label
_atom_site_type_symbol
_atom_site_fract_x
_atom_site_fract_y
_atom_site_fract_z
Nd1 Nd 0.0000 0.5000 0.2420
Ti1 Ti 0.0000 0.0000 0.5000
Ge1 Ge 0.0000 0.0000 0.0000
Ge2 Ge 0.0000 0.5000 0.6397
Ge3 Ge 0.5000 0.5000 0.0000
Pd1 Pd 0.0000 0.5000 0.8708
Pd2 Pd 0.5000 0.5000 0.5000
```

Computed properties:
Formation energy from the elements = -7.9 eV per formula unit
Crystal system = tetragonal
M_tot = 0.0 μB/f.u.
N(E_F) = 4.39 states/eV per cell
Volume = 196 Å³/cell

[5]
The following is a PBE-GGA calculation of a geometry-optimized NdTmGe2Pd5 structure, from Alexandria via LeMat-Bulk.

Geometry as CIF:
```
data_NdTmGe2Pd5
_cell_length_a 4.2697
_cell_length_b 4.2697
_cell_length_c 9.1063
_cell_angle_alpha 90.00
_cell_angle_beta 90.00
_cell_angle_gamma 90.00
_symmetry_space_group_name_H-M 'P 4/m m m'
_symmetry_Int_Tables_number 123
_symmetry_space_group_name_Hall '-P 4 2'
loop_
_atom_site_label
_atom_site_type_symbol
_atom_site_fract_x
_atom_site_fract_y
_atom_site_fract_z
Nd1 Nd 0.0000 0.0000 0.0000
Tm1 Tm 0.0000 0.0000 0.5000
Ge1 Ge 0.5000 0.5000 0.3668
Pd1 Pd 0.0000 0.5000 0.2308
Pd2 Pd 0.5000 0.5000 0.0000
```

Computed properties:
Formation energy from the elements = -7.0 eV per formula unit
Crystal system = tetragonal
M_tot = 0.0 μB/f.u.
N(E_F) = 2.57 states/eV per cell
Volume = 166 Å³/cell

[6]
The following is a PBE-GGA calculation of a geometry-optimized NdYGePd structure, from Alexandria via LeMat-Bulk.

Geometry as CIF:
```
data_NdYGePd
_cell_length_a 4.3517
_cell_length_b 4.0433
_cell_length_c 11.0155
_cell_angle_alpha 90.00
_cell_angle_beta 90.00
_cell_angle_gamma 90.00
_symmetry_space_group_name_H-M 'A m m 2'
_symmetry_Int_Tables_number 38
_symmetry_space_group_name_Hall 'A 2 -2'
loop_
_atom_site_label
_atom_site_type_symbol
_atom_site_fract_x
_atom_site_fract_y
_atom_site_fract_z
Nd1 Nd 0.0000 0.0000 0.0000
Y1 Y 0.5000 0.0000 0.7232
Ge1 Ge 0.5000 0.0000 0.4370
Pd1 Pd 0.0000 0.0000 0.2794
```

Computed properties:
Formation energy from the elements = -3.4 eV per formula unit
Crystal system = orthorhombic
M_tot = 0.0 μB/f.u.
N(E_F) = 4.41 states/eV per cell
Volume = 194 Å³/cell

[7]
The following is a PBE-GGA calculation of a geometry-optimized NdYGePd structure, from Alexandria via LeMat-Bulk.

Geometry as CIF:
```
data_NdYGePd
_cell_length_a 7.2224
_cell_length_b 7.2224
_cell_length_c 7.2224
_cell_angle_alpha 90.00
_cell_angle_beta 90.00
_cell_angle_gamma 90.00
_symmetry_space_group_name_H-M 'F -4 3 m'
_symmetry_Int_Tables_number 216
_symmetry_space_group_name_Hall 'F -4 2 3'
loop_
_atom_site_label
_atom_site_type_symbol
_atom_site_fract_x
_atom_site_fract_y
_atom_site_fract_z
Nd1 Nd 0.0000 0.0000 0.0000
Y1 Y 0.0000 0.0000 0.5000
Ge1 Ge 0.2500 0.2500 0.7500
Pd1 Pd 0.2500 0.2500 0.2500
```

Computed properties:
Formation energy from the elements = -3.0 eV per formula unit
Crystal system = cubic
M_tot = 0.0 μB/f.u.
N(E_F) = 7.93 states/eV per cell
Volume = 377 Å³/cell

[8]
The following is a PBE-GGA calculation of a geometry-optimized Nd3Zn2GePd9 structure, from Alexandria via LeMat-Bulk.

Geometry as CIF:
```
data_Nd3Zn2GePd9
_cell_length_a 5.7205
_cell_length_b 5.7205
_cell_length_c 11.2622
_cell_angle_alpha 90.00
_cell_angle_beta 90.00
_cell_angle_gamma 120.00
_symmetry_space_group_name_H-M 'P -3 m 1'
_symmetry_Int_Tables_number 164
_symmetry_space_group_name_Hall '-P 3 2"'
loop_
_atom_site_label
_atom_site_type_symbol
_atom_site_fract_x
_atom_site_fract_y
_atom_site_fract_z
Nd1 Nd 0.0000 0.0000 0.0000
Nd2 Nd 0.3333 0.6667 0.7454
Zn1 Zn 0.3333 0.6667 0.1706
Ge1 Ge 0.0000 0.0000 0.5000
Pd1 Pd 0.0000 0.5000 0.0000
Pd2 Pd 0.1704 0.3407 0.3448
```

Computed properties:
Formation energy from the elements = -8.1 eV per formula unit
Crystal system = trigonal
M_tot = 0.0 μB/f.u.
N(E_F) = 5.24 states/eV per cell
Volume = 319 Å³/cell

- The highest N(E_F) belongs to which entry?
  NdThGePd